# 1
ScAlRe: optimized geometry, PBE-GGA.

Unit cell a=4.5719 b=4.5719 c=2.7992 alpha=90.00 beta=90.00 gamma=120.00
Closest atoms and distances in Å follow each position.
Fractional coordinates of all 3 atoms:
Sc 0.3333 0.6667 0.6568  2 Sc 2.80, 6 Re 2.86-3.13, 6 Al 2.90-3.09
Re 0.6667 0.3333 0.2602  3 Al 2.69, 2 Re 2.80, 3 Sc 2.86
Al 0.0000 0.0000 0.0830  3 Re 2.69, 2 Al 2.80, 3 Sc 2.90

## Properties
Symmetry = No. 156
Formation energy from the elements = -0.152 eV/atom
Energy above the lowest structure with this stoichiometry = 82 kJ/mol of formula units
D(E_F) = 2.366 states/eV/cell

---

# 2
PmErP: optimized geometry, PBE-GGA.

Unit cell a=6.4723 b=3.9379 c=3.9379 alpha=120.00 beta=90.00 gamma=90.00
Closest atoms and distances in Å follow each position.
Fractional coordinates of all 3 atoms:
P 0.0080 0.0000 0.0000  3 Er 2.74, 3 Pm 2.83
Pm 0.7488 0.6667 0.3333  3 P 2.83
Er 0.2432 0.3333 0.6667  3 P 2.74

## Properties
Symmetry = No. 156
Formation energy from the elements = -0.941 eV/atom
D(E_F) = 3.928 states/eV/cell

---

# 3
Si2TcAg: optimized geometry, PBE-GGA.

Unit cell a=4.3607 b=4.3607 c=4.3607 alpha=60.00 beta=60.00 gamma=60.00
Closest atoms and distances in Å follow each position.
Fractional coordinates of all 4 atoms:
Si 0.2500 0.2500 0.2500  4 Ag 2.67, 4 Tc 2.67
Si 0.7500 0.7500 0.7500  4 Ag 2.67, 4 Tc 2.67
Tc 0.0000 0.0000 0.0000  8 Si 2.67
Ag 0.5000 0.5000 0.5000  8 Si 2.67

## Properties
Symmetry = No. 225
Energy above the lowest structure with this stoichiometry = 136 kJ/mol of formula units
D(E_F) = 2.622 states/eV/cell

---

# 4
Hg3OF4: optimized geometry, PBE-GGA.

Unit cell a=6.2855 b=6.3810 c=8.8498 alpha=107.72 beta=90.00 gamma=119.51
Closest atoms and distances in Å follow each position.
Fractional coordinates of all 16 atoms:
Hg 0.6402 0.2907 0.8824  1 O 2.14, 1 F 2.25
Hg 0.6505 0.2907 0.3824  1 O 2.14, 1 F 2.25
Hg 0.3242 0.6313 0.5996  1 O 2.11, 1 F 2.13
Hg 0.3071 0.6313 0.0996  1 O 2.11, 1 F 2.13
Hg 0.8906 0.8532 0.7940  1 O 2.14, 1 F 2.17
Hg 0.9627 0.8532 0.2940  1 O 2.14, 1 F 2.17
O 0.6596 0.9762 0.7212  3 Hg 2.11-2.14
O 0.3166 0.9762 0.2212  3 Hg 2.11-2.14
F 0.2517 0.2672 0.9577  1 Hg 2.13
F 0.0154 0.2672 0.4577  1 Hg 2.13
F 0.5290 0.3836 0.6433  4 Hg 2.42-2.60
F 0.8546 0.3836 0.1433  4 Hg 2.42-2.60
F 0.1055 0.6898 0.8388  1 Hg 2.17
F 0.5843 0.6898 0.3388  1 Hg 2.17
F 0.9766 0.6877 0.5129  2 Hg 2.25-2.49
F 0.7112 0.6877 0.0129  2 Hg 2.25-2.49

## Properties
Symmetry = No. 9
Energy = -2.798 eV per atom

---

# 5
LaInIO2: optimized geometry, PBE-GGA.

Unit cell a=4.5935 b=4.5935 c=6.8404 alpha=90.00 beta=90.00 gamma=90.00
Closest atoms and distances in Å follow each position.
Fractional coordinates of all 5 atoms:
I 0.0000 0.0000 0.5000  4 In 3.25, 2 La 3.42
In 0.5000 0.5000 0.5000  4 I 3.25
O 0.0000 0.5000 0.0000  2 La 2.30
O 0.5000 0.0000 0.0000  2 La 2.30
La 0.0000 0.0000 0.0000  4 O 2.30

## Properties
Symmetry = No. 123
Energy above the lowest structure with this stoichiometry = 0 kJ/mol of formula units
D(E_F) = 3.368 states/eV/cell

---

# 6
AcCu2SnS4: optimized geometry, PBE-GGA.

Unit cell a=6.7007 b=6.1858 c=6.1858 alpha=69.49 beta=57.21 gamma=57.21
Closest atoms and distances in Å follow each position.
Fractional coordinates of all 8 atoms:
Ac 0.0000 0.0000 0.0000  8 S 3.10-3.18
Cu 0.1784 0.3216 0.3216  2 S 2.20
Cu 0.8216 0.6784 0.6784  2 S 2.20
Sn 0.5000 0.5000 0.5000  4 S 2.65
S 0.4488 0.1034 0.5017  1 Cu 2.20
S 0.0539 0.8966 0.4983  1 Cu 2.20
S 0.9461 0.5017 0.1034  1 Cu 2.20
S 0.5512 0.4983 0.8966  1 Cu 2.20

## Properties
Symmetry = No. 23
Energy = -4.872 eV per atom
D(E_F) = 5.755 states/eV/cell

---

# 7
PmNd2Y6Er2: optimized geometry, PBE-GGA.

Unit cell a=6.6720 b=6.6720 c=12.1145 alpha=101.52 beta=101.52 gamma=129.46
Closest atoms and distances in Å follow each position.
Fractional coordinates of all 11 atoms:
Pm 0.0000 0.0000 0.5000  8 Y 3.59-3.63, 6 Er 3.59-3.75
Nd 0.8646 0.1354 0.0000  1 Nd 3.27, 8 Y 3.41-3.66
Nd 0.1354 0.8646 0.0000  1 Nd 3.27, 8 Y 3.41-3.66
Y 0.7107 0.7107 0.7088  2 Er 3.31, 4 Y 3.50, 2 Nd 3.52, 2 Pm 3.61-3.63
Y 0.1349 0.4430 0.7871  3 Nd 3.41-3.66, 5 Y 3.50-3.72, 1 Er 3.53, 1 Pm 3.59
Y 0.2893 0.2893 0.2912  2 Er 3.31, 4 Y 3.50, 2 Nd 3.52, 2 Pm 3.61-3.63
Y 0.4430 0.1349 0.7871  3 Nd 3.41-3.66, 5 Y 3.50-3.72, 1 Er 3.53, 1 Pm 3.59
Y 0.8651 0.5570 0.2129  3 Nd 3.41-3.66, 5 Y 3.50-3.72, 1 Er 3.53, 1 Pm 3.59
Y 0.5570 0.8651 0.2129  3 Nd 3.41-3.66, 5 Y 3.50-3.72, 1 Er 3.53, 1 Pm 3.59
Er 0.2978 0.7022 0.5000  2 Er 3.07, 2 Y 3.31
Er 0.7022 0.2978 0.5000  2 Er 3.07, 2 Y 3.31

## Properties
Symmetry = No. 12
Formation energy from the elements = 0.150 eV/atom
D(E_F) = 17.914 states/eV/cell

---

# 8
LiGaS2: optimized geometry, PBE-GGA.

Unit cell a=6.4368 b=3.5640 c=3.5640 alpha=120.00 beta=106.08 gamma=73.92
Closest atoms and distances in Å follow each position.
Fractional coordinates of all 4 atoms:
S 0.7718 0.7428 0.2572  3 Ga 2.48, 3 Li 2.64
S 0.2282 0.2572 0.7428  3 Ga 2.48, 3 Li 2.64
Ga 0.0000 0.0000 0.0000  6 S 2.48
Li 0.5000 0.5000 0.5000  6 S 2.64

## Properties
Symmetry = No. 166
Energy = -4.160 eV per atom
D(E_F) = 0.000 states/eV/cell

---

# 9
ZrB2Os: optimized geometry, PBE-GGA.

Unit cell a=4.0439 b=4.0439 c=4.0439 alpha=60.00 beta=60.00 gamma=60.00
Closest atoms and distances in Å follow each position.
Fractional coordinates of all 4 atoms:
B 0.2500 0.2500 0.2500  4 Os 2.48, 4 Zr 2.48
B 0.7500 0.7500 0.7500  4 Zr 2.48, 4 Os 2.48
Os 0.5000 0.5000 0.5000  8 B 2.48
Zr 0.0000 0.0000 0.0000  8 B 2.48

## Properties
Symmetry = No. 225
Formation energy from the elements = 0.027 eV/atom
Energy above the lowest structure with this stoichiometry = 144 kJ/mol of formula units
D(E_F) = 1.026 states/eV/cell

---

# 10
Tb15Nd2Sc2: optimized geometry, PBE-GGA.

Unit cell a=8.6832 b=8.6832 c=8.6832 alpha=80.21 beta=80.21 gamma=80.21
Closest atoms and distances in Å follow each position.
Fractional coordinates of all 19 atoms:
Tb 0.0000 0.0000 0.5000  8 Tb 3.31-3.35, 2 Sc 3.49
Tb 0.5000 0.0000 0.0000  8 Tb 3.31-3.35, 2 Sc 3.49
Tb 0.0000 0.5000 0.0000  8 Tb 3.31-3.35, 2 Sc 3.49
Tb 0.2925 0.7075 0.0000  6 Tb 3.27-3.35, 2 Sc 3.64
Tb 0.0000 0.2925 0.7075  6 Tb 3.27-3.35, 2 Sc 3.64
Tb 0.7075 0.0000 0.2925  6 Tb 3.27-3.35, 2 Sc 3.64
Tb 0.0000 0.7075 0.2925  6 Tb 3.27-3.35, 2 Sc 3.64
Tb 0.2925 0.0000 0.7075  6 Tb 3.27-3.35, 2 Sc 3.64
Tb 0.7075 0.2925 0.0000  6 Tb 3.27-3.35, 2 Sc 3.64
Tb 0.6336 0.6336 0.1469  6 Tb 3.30-3.34
Tb 0.1469 0.6336 0.6336  6 Tb 3.30-3.34
Tb 0.6336 0.1469 0.6336  6 Tb 3.30-3.34
Tb 0.3664 0.3664 0.8531  6 Tb 3.30-3.34
Tb 0.8531 0.3664 0.3664  6 Tb 3.30-3.34
Tb 0.3664 0.8531 0.3664  6 Tb 3.30-3.34
Nd 0.3219 0.3219 0.3219  15 Tb 3.98-4.21, 1 Sc 4.02
Nd 0.6781 0.6781 0.6781  15 Tb 3.98-4.21, 1 Sc 4.02
Sc 0.0911 0.0911 0.0911  1 Sc 3.17, 3 Tb 3.49
Sc 0.9089 0.9089 0.9089  1 Sc 3.17, 3 Tb 3.49

## Properties
Symmetry = No. 166
Formation energy from the elements = 0.274 eV/atom
D(E_F) = 33.507 states/eV/cell

---

# 11
AcIn2Ni: optimized geometry, PBE-GGA.

Unit cell a=4.4982 b=4.4982 c=6.5254 alpha=69.84 beta=69.84 gamma=60.00
Closest atoms and distances in Å follow each position.
Fractional coordinates of all 4 atoms:
Ni 0.0000 0.0000 0.0000  6 In 2.71
Ac 0.5000 0.5000 0.5000  8 In 3.41-3.78
In 0.7103 0.7103 0.8691  3 Ni 2.71, 3 In 3.03
In 0.2897 0.2897 0.1309  3 Ni 2.71, 3 In 3.03

## Properties
Symmetry = No. 166
Formation energy from the elements = -0.286 eV/atom
Energy above the lowest structure with this stoichiometry = 42 kJ/mol of formula units
D(E_F) = 2.516 states/eV/cell

---

# 12
GdHoMgSc: optimized geometry, PBE-GGA.

Unit cell a=5.3821 b=5.3821 c=5.3821 alpha=60.00 beta=60.00 gamma=60.00
Closest atoms and distances in Å follow each position.
Fractional coordinates of all 4 atoms:
Sc 0.5000 0.5000 0.5000  4 Gd 3.30, 4 Ho 3.30
Mg 0.0000 0.0000 0.0000  4 Ho 3.30, 4 Gd 3.30
Gd 0.7500 0.7500 0.7500  4 Mg 3.30, 4 Sc 3.30
Ho 0.2500 0.2500 0.2500  4 Sc 3.30, 4 Mg 3.30

## Properties
Symmetry = No. 216
Formation energy from the elements = 0.025 eV/atom
D(E_F) = 4.775 states/eV/cell

---

# 13
Pm3Cu3Pt: optimized geometry, PBE-GGA.

Unit cell a=4.3116 b=3.8665 c=9.8741 alpha=101.29 beta=102.61 gamma=90.00
Closest atoms and distances in Å follow each position.
Fractional coordinates of all 7 atoms:
Pm 0.3195 0.8195 0.6390  2 Pt 2.92, 4 Cu 2.97
Pm 0.6846 0.1846 0.3693  7 Cu 2.91-3.22
Pm 0.9971 0.9971 0.9941  4 Pt 3.12, 8 Cu 3.20-3.30
Cu 0.1386 0.6386 0.2771  2 Cu 2.52
Cu 0.8551 0.3551 0.7103  2 Pt 2.64
Cu 0.5695 0.5695 0.1390  2 Cu 2.52, 1 Pt 2.53
Pt 0.4356 0.4356 0.8712  3 Cu 2.53-2.64

## Properties
Symmetry = No. 44
Formation energy from the elements = -0.445 eV/atom
D(E_F) = 5.783 states/eV/cell

---

# 14
Dy7Bi2Rh2: optimized geometry, PBE-GGA.

Unit cell a=7.2129 b=6.8619 c=6.8619 alpha=78.56 beta=90.00 gamma=90.00
Closest atoms and distances in Å follow each position.
Fractional coordinates of all 11 atoms:
Dy 0.2391 0.0000 0.5000  2 Rh 2.79
Dy 0.7609 0.5000 0.0000  2 Rh 2.79
Dy 0.7609 0.0000 0.5000  2 Rh 2.79
Dy 0.2391 0.5000 0.0000  2 Rh 2.79
Dy 0.0000 0.0000 0.0000  2 Rh 2.95
Dy 0.7703 0.5000 0.5000  2 Rh 2.88
Dy 0.2297 0.5000 0.5000  2 Rh 2.88
Bi 0.5000 0.2029 0.7971  6 Dy 3.23-3.28, 1 Bi 3.53
Bi 0.5000 0.7971 0.2029  6 Dy 3.23-3.28, 1 Bi 3.53
Rh 0.0000 0.2780 0.2780  7 Dy 2.79-2.95
Rh 0.0000 0.7220 0.7220  7 Dy 2.79-2.95

## Properties
Symmetry = No. 65
Formation energy from the elements = -0.507 eV/atom
Energy above the lowest structure with this stoichiometry = 143 kJ/mol of formula units
D(E_F) = 8.832 states/eV/cell

---

# 15
LaTe2As: optimized geometry, PBE-GGA.

Unit cell a=4.2413 b=5.1042 c=5.1042 alpha=90.00 beta=90.00 gamma=90.00
Closest atoms and distances in Å follow each position.
Fractional coordinates of all 4 atoms:
As 0.5000 0.5000 0.0000  8 Te 3.32, 4 La 3.61
Te 0.0000 0.0000 0.0000  4 As 3.32, 4 La 3.32, 4 Te 3.61
Te 0.0000 0.5000 0.5000  4 La 3.32, 4 As 3.32, 4 Te 3.61
La 0.5000 0.0000 0.5000  8 Te 3.32, 4 As 3.61

## Properties
Symmetry = No. 123
Energy = -4.669 eV per atom
D(E_F) = 1.736 states/eV/cell

---

# 16
GaIrPt3: optimized geometry, PBE-GGA.

Unit cell a=4.5463 b=4.5463 c=4.5463 alpha=90.00 beta=90.00 gamma=90.00
Closest atoms and distances in Å follow each position.
Fractional coordinates of all 5 atoms:
Ir 0.5000 0.5000 0.5000  12 Pt 3.21
Ga 0.0000 0.0000 0.0000  6 Pt 2.27
Pt 0.0000 0.5000 0.0000  2 Ga 2.27
Pt 0.0000 0.0000 0.5000  2 Ga 2.27
Pt 0.5000 0.0000 0.0000  2 Ga 2.27

## Properties
Symmetry = No. 221
Formation energy from the elements = 1.065 eV/atom
Energy above the lowest structure with this stoichiometry = 0 kJ/mol of formula units
D(E_F) = 4.769 states/eV/cell

---

# 17
SrSn2W: optimized geometry, PBE-GGA.

Unit cell a=5.6752 b=5.6752 c=9.6807 alpha=72.96 beta=72.96 gamma=90.00
Closest atoms and distances in Å follow each position.
Fractional coordinates of all 8 atoms:
Sr 0.5000 0.5000 0.0000  4 Sn 3.57
Sr 0.2500 0.7500 0.5000  4 Sn 3.57
Sn 0.8030 0.1250 0.2500  2 W 2.65, 2 Sn 2.95
Sn 0.9470 0.6250 0.2500  2 W 2.65, 2 Sn 2.95
Sn 0.3750 0.1970 0.7500  2 W 2.65, 2 Sn 2.95
Sn 0.8750 0.0530 0.7500  2 W 2.65, 2 Sn 2.95
W 0.0000 0.0000 0.0000  4 Sn 2.65
W 0.7500 0.2500 0.5000  4 Sn 2.65

## Properties
Symmetry = No. 122
Formation energy from the elements = 0.564 eV/atom
Energy above the lowest structure with this stoichiometry = 44 kJ/mol of formula units
D(E_F) = 6.787 states/eV/cell

---

# 18
SnAs2HSe: optimized geometry, PBE-GGA.

Unit cell a=4.0632 b=4.0632 c=5.8479 alpha=90.00 beta=90.00 gamma=90.00
Closest atoms and distances in Å follow each position.
Fractional coordinates of all 5 atoms:
H 0.0000 0.0000 0.0000  4 As 2.03
As 0.0000 0.5000 0.0000  2 H 2.03
As 0.5000 0.0000 0.0000  2 H 2.03
Sn 0.5000 0.5000 0.5000  4 Se 2.87
Se 0.0000 0.0000 0.5000  4 Sn 2.87, 2 H 2.92

## Properties
Symmetry = No. 123
Energy above the lowest structure with this stoichiometry = 0 kJ/mol of formula units
D(E_F) = 2.303 states/eV/cell

---

# 19
DyYEr4: optimized geometry, PBE-GGA.

Unit cell a=3.5268 b=9.3136 c=10.5627 alpha=145.00 beta=70.50 gamma=100.97
Closest atoms and distances in Å follow each position.
Fractional coordinates of all 6 atoms:
Dy 0.5000 0.0000 0.5000  10 Er 3.51-3.52, 2 Dy 3.53
Y 0.0000 0.0000 0.0000  10 Er 3.51-3.54, 2 Y 3.53
Er 0.8346 0.6650 0.4978  3 Y 3.51-3.54, 7 Er 3.52-3.53, 2 Dy 3.52
Er 0.1653 0.3349 0.5022  3 Y 3.51-3.54, 7 Er 3.52-3.53, 2 Dy 3.52
Er 0.3327 0.6663 0.0007  7 Er 3.51-3.53, 3 Dy 3.51-3.52, 2 Y 3.53
Er 0.6673 0.3336 0.9992  7 Er 3.51-3.53, 3 Dy 3.51-3.52, 2 Y 3.53

## Properties
Symmetry = No. 2
Formation energy from the elements = 0.022 eV/atom
Energy above the lowest structure with this stoichiometry = 0 kJ/mol of formula units
D(E_F) = 7.948 states/eV/cell

---

# 20
NpGaRu2: optimized geometry, PBE-GGA.

Unit cell a=3.2136 b=3.2136 c=6.3769 alpha=90.00 beta=90.00 gamma=90.00
Closest atoms and distances in Å follow each position.
Fractional coordinates of all 4 atoms:
Np 0.5000 0.5000 0.5000  8 Ru 2.86, 2 Ga 3.19
Ru 0.0000 0.0000 0.7714  4 Ga 2.70, 4 Np 2.86, 1 Ru 2.92
Ru 0.0000 0.0000 0.2286  4 Ga 2.70, 4 Np 2.86, 1 Ru 2.92
Ga 0.5000 0.5000 0.0000  8 Ru 2.70

## Properties
Symmetry = No. 123
Formation energy from the elements = -0.171 eV/atom
D(E_F) = 4.180 states/eV/cell